First-principles (meta-GGA SCAN) data for a PBEsol-optimized structure of MnHgOs2, as listed in Alexandria via LeMat-Bulk.

Computed properties:
E_tot (eV/atom): -57.02
Magnetic moment (μB/f.u.): 2.781
Crystal system: monoclinic

Lattice parameters (Å, degrees): 2.755 4.185 5.352 90.00 102.10 90.00
Space group P2/m (No. 10)
One atom of each set of equivalent atoms:
Mn 0.000 0.000 0.000
Hg 0.000 0.000 0.500
Os 0.371 0.500 0.218